Compound: LiNbCu2Te
Source: Alexandria
Functional: PBE
Structure: relaxed

a = 4.8225 Å, b = 5.2266 Å, c = 4.8225 Å
α = 90.00°, β = 90.00°, γ = 90.00°
With the nearest neighbours (Å) after each atom.
Positions (direct):
Te 0.0000 0.0000 0.0000  4 Cu 2.41, 2 Nb 2.61
Cu 0.5000 0.0000 0.0000  2 Te 2.41
Cu 0.0000 0.0000 0.5000  2 Te 2.41
Nb 0.0000 0.5000 0.0000  2 Te 2.61
Li 0.5000 0.5000 0.5000  4 Nb 3.41, 8 Cu 3.56

## Properties
The total energy comes out at -18.894 eV for the cell shown. The formation energy from raw total energies is 884.7 meV/atom.

Compound: LiYNbCu2
Source: Alexandria
Functional: PBE
Structure: relaxed

a = 4.3030 Å, b = 4.6796 Å, c = 4.3030 Å
α = 90.00°, β = 90.00°, γ = 90.00°
With the nearest neighbours (Å) after each atom.
Positions (direct):
Y 0.0000 0.5000 0.0000  2 Li 2.34
Li 0.0000 0.0000 0.0000  4 Cu 2.15, 2 Y 2.34
Cu 0.5000 0.0000 0.0000  2 Li 2.15
Cu 0.0000 0.0000 0.5000  2 Li 2.15
Nb 0.5000 0.5000 0.5000  4 Y 3.04, 8 Cu 3.18

## Properties
The total energy comes out at -22.981 eV for the cell shown. As for the energy of formation from the pure elements: 70.6 kJ/mol of atoms.

Compound: Li2NdCu9
Source: Alexandria
Functional: PBE
Structure: relaxed

a = 5.0194 Å, b = 5.0194 Å, c = 8.6158 Å
α = 73.06°, β = 73.06°, γ = 60.00°
With the nearest neighbours (Å) after each atom.
Positions (direct):
Cu 0.4140 0.9162 0.2557  7 Cu 2.46-2.55
Cu 0.5000 0.5000 0.5000  6 Cu 2.46
Cu 0.9162 0.4140 0.2557  7 Cu 2.46-2.55
Cu 0.6674 0.6674 0.9979  6 Cu 2.51-2.55
Cu 0.0838 0.5860 0.7443  7 Cu 2.46-2.55
Cu 0.4140 0.4140 0.2557  7 Cu 2.46-2.55
Cu 0.3326 0.3326 0.0021  6 Cu 2.51-2.55
Cu 0.5860 0.0838 0.7443  7 Cu 2.46-2.55
Cu 0.5860 0.5860 0.7443  7 Cu 2.46-2.55
Nd 0.0000 0.0000 0.0000  6 Cu 2.90
Li 0.8514 0.8514 0.4459  12 Cu 2.82-2.95, 3 Li 3.03
Li 0.1486 0.1486 0.5541  12 Cu 2.82-2.95, 3 Li 3.03

## Properties
The relative energy among the computed polymorphs is 4 meV/atom. The total energy comes out at -46.791 eV for the cell shown. As for the energy of formation from the pure elements: -10.7 kJ/mol of atoms.